Ac2SnSbAu6: optimized geometry, PBE.

Output
* magnetization: 0.00 μB per cell
* calculated total energy: -3.8363 eV per atom

a b c (Å): 10.4689 10.4689 10.4689
angles (deg): 90.00 90.00 90.00
Last column: nearest neighbours and their distance in Å.
Space group Fm-3m (No. 225)
Inequivalent atoms, fractional coordinates:
Ac1 0.2500 0.2500 0.2500  12 Au 3.70
Sn1 0.0000 0.0000 0.0000  6 Au 2.61
Sb1 0.0000 0.0000 0.5000  6 Au 2.62
Au1 0.0000 0.0000 0.2497  1 Sn 2.61, 1 Sb 2.62